DFT (PBE-GGA) results for crystalline Mg3BiF at its relaxed geometry.

CIF file:
```
data_Mg3BiF
_chemical_formula_sum 'Mg3 Bi1 F1'
_cell_length_a 5.800
_cell_length_b 5.800
_cell_length_c 5.800
_cell_angle_alpha 90.00
_cell_angle_beta 90.00
_cell_angle_gamma 90.00
_symmetry_space_group_name_H-M 'P m -3 m'
_symmetry_Int_Tables_number 221
_symmetry_space_group_name_Hall '-P 4 2 3'
loop_
_atom_site_label
_atom_site_type_symbol
_atom_site_fract_x
_atom_site_fract_y
_atom_site_fract_z
Mg1 Mg 0.000 0.000 0.500
Bi1 Bi 0.000 0.000 0.000
F1 F 0.500 0.500 0.500
```

Calculated values
As for the theoretical density: 2560 kg/m3. As for the distance to the lowest polymorph of the same formula: 75.46 kJ per mole of atoms. The calculation puts the total magnetization at 0.0 μB per cell. The crystal system is cubic.

=====

DFT (PBE-GGA) results for crystalline PmTm3Ga4 at its relaxed geometry.

CIF file:
```
data_PmTm3Ga4
_chemical_formula_sum 'Pm1 Tm3 Ga4'
_cell_length_a 5.038
_cell_length_b 5.038
_cell_length_c 7.119
_cell_angle_alpha 90.00
_cell_angle_beta 90.00
_cell_angle_gamma 90.00
_symmetry_space_group_name_H-M 'P 4/m m m'
_symmetry_Int_Tables_number 123
_symmetry_space_group_name_Hall '-P 4 2'
loop_
_atom_site_label
_atom_site_type_symbol
_atom_site_fract_x
_atom_site_fract_y
_atom_site_fract_z
Pm1 Pm 0.000 0.000 0.000
Tm1 Tm 0.000 0.000 0.500
Tm2 Tm 0.500 0.500 0.000
Tm3 Tm 0.500 0.500 0.500
Ga1 Ga 0.000 0.500 0.259
```

Calculated values
As for the theoretical density: 8553 kg/m3. As for the distance to the lowest polymorph of the same formula: 0.00 kJ per mole of atoms. For the formation enthalpy at 0 K, the calculation gives -0.565 eV per atom. The calculation puts the total magnetization at 0.0 μB per cell. The crystal system is tetragonal.

=====

DFT (PBE-GGA) results for crystalline Ac2BeAl3Au4 at its relaxed geometry.

CIF file:
```
data_Ac2BeAl3Au4
_chemical_formula_sum 'Ac2 Be1 Al3 Au4'
_cell_length_a 4.549
_cell_length_b 4.549
_cell_length_c 10.391
_cell_angle_alpha 90.00
_cell_angle_beta 90.00
_cell_angle_gamma 90.00
_symmetry_space_group_name_H-M 'P -4 m 2'
_symmetry_Int_Tables_number 115
loop_
_symmetry_equiv_pos_as_xyz
'x,y,z'
'y,-x,-z'
'-x,-y,z'
'-y,x,-z'
'-x,y,z'
'-y,-x,-z'
'x,-y,z'
'y,x,-z'
loop_
_atom_site_label
_atom_site_type_symbol
_atom_site_fract_x
_atom_site_fract_y
_atom_site_fract_z
Ac1 Ac 0.000 0.500 0.244
Be1 Be 0.500 0.500 0.000
Al1 Al 0.000 0.000 0.000
Al2 Al 0.000 0.500 0.630
Au1 Au 0.000 0.000 0.500
Au2 Au 0.000 0.500 0.881
Au3 Au 0.500 0.500 0.500
```

Calculated values
As for the theoretical density: 10286 kg/m3. For the formation enthalpy at 0 K, the calculation gives -0.628 eV per atom. The calculation puts the total magnetization at 0.0 μB per cell. The crystal system is tetragonal.

=====

DFT (PBE-GGA) results for crystalline Sr3MgPa2As6 at its relaxed geometry.

CIF file:
```
data_Sr3MgPa2As6
_chemical_formula_sum 'Sr6 Mg2 Pa4 As12'
_cell_length_a 7.350
_cell_length_b 12.722
_cell_length_c 7.519
_cell_angle_alpha 90.00
_cell_angle_beta 108.94
_cell_angle_gamma 90.00
_symmetry_space_group_name_H-M 'C 1 2/m 1'
_symmetry_Int_Tables_number 12
loop_
_symmetry_equiv_pos_as_xyz
'x,y,z'
'-x,-y,-z'
'-x,y,-z'
'x,-y,z'
'x+1/2,y+1/2,z'
'-x+1/2,-y+1/2,-z'
'-x+1/2,y+1/2,-z'
'x+1/2,-y+1/2,z'
loop_
_atom_site_label
_atom_site_type_symbol
_atom_site_fract_x
_atom_site_fract_y
_atom_site_fract_z
Sr1 Sr 0.000 0.000 0.000
Sr2 Sr 0.000 0.336 0.000
Mg1 Mg 0.000 0.500 0.500
Pa1 Pa 0.000 0.167 0.500
As1 As 0.229 0.000 0.716
As2 As 0.244 0.329 0.716
```

Calculated values
As for the theoretical density: 5987 kg/m3. For the formation enthalpy at 0 K, the calculation gives -1.066 eV per atom. The calculation puts the total magnetization at 0.0 μB per cell. The crystal system is monoclinic.

=====

DFT (PBE-GGA) results for crystalline BaTl2CrIn at its relaxed geometry.

CIF file:
```
data_BaTl2CrIn
_chemical_formula_sum 'Ba1 Tl2 Cr1 In1'
_cell_length_a 6.400
_cell_length_b 6.400
_cell_length_c 6.382
_cell_angle_alpha 90.00
_cell_angle_beta 90.00
_cell_angle_gamma 90.00
_symmetry_space_group_name_H-M 'P 4/m m m'
_symmetry_Int_Tables_number 123
_symmetry_space_group_name_Hall '-P 4 2'
loop_
_atom_site_label
_atom_site_type_symbol
_atom_site_fract_x
_atom_site_fract_y
_atom_site_fract_z
Ba1 Ba 0.000 0.000 0.000
Tl1 Tl 0.000 0.500 0.000
Cr1 Cr 0.500 0.500 0.500
In1 In 0.000 0.000 0.500
```

Calculated values
As for the theoretical density: 4528 kg/m3. For the formation enthalpy at 0 K, the calculation gives 1.201 eV per atom. The calculation puts the total magnetization at 3.9 μB per cell. The crystal system is tetragonal.

=====

DFT (PBE-GGA) results for crystalline CaMg2 at its relaxed geometry.

CIF file:
```
data_CaMg2
_chemical_formula_sum 'Ca4 Mg8'
_cell_length_a 12.366
_cell_length_b 3.417
_cell_length_c 8.338
_cell_angle_alpha 90.00
_cell_angle_beta 93.41
_cell_angle_gamma 90.00
_symmetry_space_group_name_H-M 'C 1 m 1'
_symmetry_Int_Tables_number 8
loop_
_symmetry_equiv_pos_as_xyz
'x,y,z'
'x,-y,z'
'x+1/2,y+1/2,z'
'x+1/2,-y+1/2,z'
loop_
_atom_site_label
_atom_site_type_symbol
_atom_site_fract_x
_atom_site_fract_y
_atom_site_fract_z
Ca1 Ca 0.000 0.000 0.000
Ca2 Ca 0.243 0.500 0.305
Mg1 Mg 0.101 0.000 0.616
Mg2 Mg 0.228 0.500 0.891
Mg3 Mg 0.368 0.000 0.659
Mg4 Mg 0.480 0.000 0.347
```

Calculated values
As for the theoretical density: 1675 kg/m3. For the formation enthalpy at 0 K, the calculation gives 0.021 eV per atom. The calculation puts the total magnetization at 0.0 μB per cell. The crystal system is monoclinic.

=====

DFT (PBE-GGA) results for crystalline Co3Mo at its relaxed geometry.

CIF file:
```
data_Co3Mo
_chemical_formula_sum 'Co6 Mo2'
_cell_length_a 8.482
_cell_length_b 2.606
_cell_length_c 4.409
_cell_angle_alpha 90.00
_cell_angle_beta 100.47
_cell_angle_gamma 90.00
_symmetry_space_group_name_H-M 'C 1 2/m 1'
_symmetry_Int_Tables_number 12
loop_
_symmetry_equiv_pos_as_xyz
'x,y,z'
'-x,-y,-z'
'-x,y,-z'
'x,-y,z'
'x+1/2,y+1/2,z'
'-x+1/2,-y+1/2,-z'
'-x+1/2,y+1/2,-z'
'x+1/2,-y+1/2,z'
loop_
_atom_site_label
_atom_site_type_symbol
_atom_site_fract_x
_atom_site_fract_y
_atom_site_fract_z
Co1 Co 0.000 0.000 0.000
Co2 Co 0.243 0.500 0.235
Mo1 Mo 0.000 0.500 0.500
```

Calculated values
As for the theoretical density: 9451 kg/m3. For the formation enthalpy at 0 K, the calculation gives 0.109 eV per atom. The calculation puts the total magnetization at 6.3 μB per cell. The crystal system is monoclinic.

=====

DFT (PBE-GGA) results for crystalline MgZrMn3 at its relaxed geometry.

CIF file:
```
data_MgZrMn3
_chemical_formula_sum 'Mg1 Zr1 Mn3'
_cell_length_a 4.581
_cell_length_b 4.581
_cell_length_c 4.581
_cell_angle_alpha 90.00
_cell_angle_beta 90.00
_cell_angle_gamma 90.00
_symmetry_space_group_name_H-M 'P m -3 m'
_symmetry_Int_Tables_number 221
_symmetry_space_group_name_Hall '-P 4 2 3'
loop_
_atom_site_label
_atom_site_type_symbol
_atom_site_fract_x
_atom_site_fract_y
_atom_site_fract_z
Mg1 Mg 0.000 0.000 0.000
Zr1 Zr 0.500 0.500 0.500
Mn1 Mn 0.000 0.000 0.500
```

Calculated values
As for the theoretical density: 4841 kg/m3. As for the distance to the lowest polymorph of the same formula: 0.00 kJ per mole of atoms. For the formation enthalpy at 0 K, the calculation gives 1.167 eV per atom. The calculation puts the total magnetization at 9.1 μB per cell. The crystal system is cubic.